# 1
{"formula": "Eu2NiO", "functional": "GGA+U", "state": "optimized geometry", "dos_at_fermi_per_ev_atom": 0.472, "dft_energy_ev_per_atom": -7.60, "spacegroup": "No. 166", "cell": [[3.497, 0.000, 0.000], [1.749, 3.028, 0.000], [1.749, 1.009, 8.014]], "species": ["Eu", "Eu", "Ni", "O"], "frac_coords": [[0.894, 0.894, 0.318], [0.106, 0.106, 0.682], [0.000, 0.000, 0.000], [0.500, 0.500, 0.500]]}

=====

# 2
{"formula": "Eu2NiO4", "functional": "GGA+U", "state": "optimized geometry", "dos_at_fermi_per_ev_atom": 2.146, "dft_energy_ev_per_atom": -8.34, "spacegroup": "No. 139", "cell": [[-4.959, -1.612, 4.215], [-1.356, -5.542, 3.520], [4.597, 4.533, -1.808]], "species": ["Eu", "Eu", "Ni", "O", "O", "O", "O"], "frac_coords": [[0.640, 0.640, 0.000], [0.360, 0.360, 0.000], [0.000, 0.000, 0.000], [0.000, 0.500, 0.500], [0.500, 0.000, 0.500], [0.173, 0.173, 0.000], [0.827, 0.827, 0.000]]}

=====

# 3
{"formula": "SrPrEuNiO6", "functional": "GGA+U", "state": "optimized geometry", "dos_at_fermi_per_ev_atom": 0.698, "dft_energy_ev_per_atom": -6.99, "spacegroup": "No. 216", "cell": [[0.000, 4.049, 4.049], [4.049, 0.000, 4.049], [4.049, 4.049, 0.000]], "species": ["Sr", "Pr", "Eu", "Ni", "O", "O", "O", "O", "O", "O"], "frac_coords": [[0.750, 0.750, 0.750], [0.250, 0.250, 0.250], [0.000, 0.000, 0.000], [0.500, 0.500, 0.500], [0.269, 0.731, 0.269], [0.731, 0.269, 0.731], [0.269, 0.731, 0.731], [0.731, 0.269, 0.269], [0.269, 0.269, 0.731], [0.731, 0.731, 0.269]]}

=====

# 4
{"formula": "Eu2NiPtO6", "functional": "GGA+U", "state": "optimized geometry", "dos_at_fermi_per_ev_atom": 1.703, "dft_energy_ev_per_atom": -7.67, "spacegroup": "No. 14", "cell": [[5.725, 0.000, 0.000], [0.000, 5.501, 0.015], [0.000, 5.467, 7.818]], "species": ["Eu", "Eu", "Eu", "Eu", "Ni", "Ni", "Pt", "Pt", "O", "O", "O", "O", "O", "O", "O", "O", "O", "O", "O", "O"], "frac_coords": [[0.939, 0.266, 0.249], [0.061, 0.734, 0.751], [0.439, 0.734, 0.251], [0.561, 0.266, 0.749], [0.500, 0.500, 0.000], [0.000, 0.500, 0.500], [0.500, 0.000, 0.500], [0.000, 0.000, 0.000], [0.533, 0.147, 0.251], [0.467, 0.853, 0.749], [0.033, 0.853, 0.249], [0.967, 0.147, 0.751], [0.203, 0.242, 0.448], [0.797, 0.758, 0.552], [0.703, 0.758, 0.052], [0.297, 0.242, 0.948], [0.695, 0.351, 0.451], [0.305, 0.649, 0.549], [0.195, 0.649, 0.049], [0.805, 0.351, 0.951]]}

=====

# 5
{"formula": "SrSmEuNiO6", "functional": "GGA+U", "state": "optimized geometry", "dos_at_fermi_per_ev_atom": 0.776, "dft_energy_ev_per_atom": -7.00, "spacegroup": "No. 216", "cell": [[-2.216, -5.318, 0.034], [-0.580, -2.848, 4.975], [-5.246, -0.921, 2.197]], "species": ["Sr", "Sm", "Eu", "Ni", "O", "O", "O", "O", "O", "O"], "frac_coords": [[0.250, 0.250, 0.250], [0.500, 0.500, 0.500], [0.750, 0.750, 0.750], [0.000, 0.000, 0.000], [0.227, 0.773, 0.227], [0.773, 0.227, 0.773], [0.227, 0.773, 0.773], [0.773, 0.227, 0.227], [0.227, 0.227, 0.773], [0.773, 0.773, 0.227]]}

=====

# 6
{"formula": "EuNiSnWO6", "functional": "GGA+U", "state": "optimized geometry", "dos_at_fermi_per_ev_atom": 0.547, "dft_energy_ev_per_atom": -7.22, "spacegroup": "No. 216", "cell": [[0.000, 3.997, 3.997], [3.997, 0.000, 3.997], [3.997, 3.997, 0.000]], "species": ["Eu", "Ni", "Sn", "W", "O", "O", "O", "O", "O", "O"], "frac_coords": [[0.750, 0.750, 0.750], [0.000, 0.000, 0.000], [0.250, 0.250, 0.250], [0.500, 0.500, 0.500], [0.256, 0.744, 0.256], [0.744, 0.256, 0.744], [0.256, 0.744, 0.744], [0.744, 0.256, 0.256], [0.256, 0.256, 0.744], [0.744, 0.744, 0.256]]}

=====

# 7
{"formula": "SrEuNiWO6", "functional": "GGA+U", "state": "optimized geometry", "dft_energy_ev_per_atom": -7.47, "spacegroup": "No. 216", "cell": [[0.397, -4.681, 3.139], [-4.603, -3.112, 1.026], [-0.573, -5.077, -2.413]], "species": ["Sr", "Eu", "Ni", "W", "O", "O", "O", "O", "O", "O"], "frac_coords": [[0.750, 0.750, 0.750], [0.250, 0.250, 0.250], [0.000, 0.000, 0.000], [0.500, 0.500, 0.500], [0.256, 0.744, 0.256], [0.744, 0.256, 0.744], [0.256, 0.744, 0.744], [0.744, 0.256, 0.256], [0.256, 0.256, 0.744], [0.744, 0.744, 0.256]]}

=====

# 8
{"formula": "Eu2NiWO6", "functional": "GGA+U", "state": "optimized geometry", "dft_energy_ev_per_atom": -8.30, "spacegroup": "No. 225", "cell": [[0.000, 3.988, 3.988], [3.988, 0.000, 3.988], [3.988, 3.988, 0.000]], "species": ["Eu", "Eu", "Ni", "W", "O", "O", "O", "O", "O", "O"], "frac_coords": [[0.250, 0.250, 0.250], [0.750, 0.750, 0.750], [0.000, 0.000, 0.000], [0.500, 0.500, 0.500], [0.256, 0.744, 0.256], [0.744, 0.256, 0.744], [0.744, 0.744, 0.256], [0.256, 0.256, 0.744], [0.256, 0.744, 0.744], [0.744, 0.256, 0.256]]}